Run i
4
Lattice="-5.312 -1.095 0.089 -1.786 -4.895 -1.507 -2.003 -3.416 3.707" Properties=species:S:1:pos:R:3 comment="TbNdTe2 | the Alexandria database | PBE | optimized geometry" dos_ef_per_ev_atom=0.8838 crystal_system=cubic volume_a3_per_atom=28.21 pbc="T T T"
Nd -4.551 -4.703 1.145
Te -2.275 -2.351 0.572
Te -6.826 -7.054 1.717
Tb 0.000 0.000 0.000

Run ii
4
Lattice="4.421 0.000 0.000 2.211 3.829 0.000 2.211 1.276 7.290" Properties=species:S:1:pos:R:3 comment="TbNdTe2 | the Alexandria database | PBE | optimized geometry" dos_ef_per_ev_atom=0.5869 crystal_system=trigonal volume_a3_per_atom=30.85 pbc="T T T"
Tb 0.000 0.000 0.000
Te 6.632 3.829 5.545
Nd 4.421 2.553 3.645
Te 2.211 1.276 1.745

Run iii
8
Lattice="-1.282 0.347 -4.360 -6.269 -2.631 1.629 -3.421 9.208 1.702" Properties=species:S:1:pos:R:3 comment="TbNdTe2 | the Alexandria database | PBE | optimized geometry" dos_ef_per_ev_atom=0.5776 crystal_system=monoclinic volume_a3_per_atom=39.71 pbc="T T T"
Nd -4.249 3.478 -1.839
Te -2.148 4.677 0.021
Te -6.049 1.004 -1.516
Tb -3.738 -0.716 -2.279
Nd -7.915 5.157 1.758
Te -4.547 8.291 1.022
Te -6.609 5.388 -0.989
Tb -6.830 -0.622 0.968

Tell me which of them is the most stable. Sure, it is run ii.

Run i
9
Lattice="-3.418 1.228 0.124 -1.144 -4.056 8.675 4.907 8.283 -0.044" Properties=species:S:1:pos:R:3 comment="Tb4Nd3Th2 | the Alexandria database | PBE | optimized geometry" dos_ef_per_ev_atom=1.3828 crystal_system=monoclinic volume_a3_per_atom=33.16 pbc="T T T"
Th 0.978 1.848 8.669
Tb 0.801 1.941 2.854
Tb 2.320 5.868 5.832
Th -0.632 3.607 0.086
Nd 0.188 -0.064 5.830
Nd 0.000 0.000 0.000
Tb -1.974 -0.413 2.922
Tb -0.456 3.514 5.901
Nd 0.158 5.520 2.925

Run ii
9
Lattice="3.583 0.000 0.000 -1.791 3.103 0.000 0.000 0.000 27.033" Properties=species:S:1:pos:R:3 comment="Tb4Nd3Th2 | the Alexandria database | PBE | optimized geometry" dos_ef_per_ev_atom=1.7550 crystal_system=trigonal volume_a3_per_atom=33.39 pbc="T T T"
Nd 0.000 0.000 26.532
Tb 0.000 0.000 14.635
Th 1.791 1.034 23.499
Th 1.791 1.034 2.520
Nd 0.000 0.000 8.751
Tb 1.791 1.034 5.875
Tb 1.791 1.034 11.800
Nd 1.791 1.034 17.613
Tb 0.000 0.000 20.621

Tell me which of them is the most stable. Sure, it is run i.